Material: BaAc2MnO5
Method: DFT, PBE+U
State: relaxed

Geometry as extended XYZ:
```
18
Lattice="7.1640 0.0000 0.0000 0.0000 7.1640 0.0000 0.0000 0.0000 5.9355" Properties=species:S:1:pos:R:3 pbc="T T T"
Ba 0.0000 0.0000 0.0000
Ba 3.5820 3.5820 0.0000
Ac 1.2617 2.3203 2.9677
Ac 2.3203 5.9023 2.9677
Ac 4.8437 1.2617 2.9677
Ac 5.9023 4.8437 2.9677
Mn 0.0000 3.5820 0.0000
Mn 3.5820 0.0000 0.0000
O 0.0000 0.0000 2.9677
O 0.9544 4.5364 1.3980
O 0.9544 4.5364 4.5375
O 2.6276 0.9544 1.3980
O 2.6276 0.9544 4.5375
O 3.5820 3.5820 2.9677
O 4.5364 6.2096 1.3980
O 4.5364 6.2096 4.5375
O 6.2096 2.6276 1.3980
O 6.2096 2.6276 4.5375
```

- DFT total energy (eV per atom) = -7.38
- symmetry = P4/mbm, No. 127